# 1
First-principles (PBE) data for an optimized crystal structure of Nd5AlTl2, as listed in Alexandria via LeMat-Bulk.

For the total energy, the calculation gives -4.336 eV per atom. Its space-group type is Pbam, No. 55. For the energy above the most stable polymorph in this dataset, the calculation gives 0 meV/atom. The value obtained for the energy relative to the elements is -28.6 kJ per mole of atoms.

The structure in POSCAR format:
```
Nd5AlTl2
1.0
6.8925 0.0000 0.0000
0.0000 13.3776 0.0000
0.0000 0.0000 5.2996
Nd Al Tl
10 2 4
direct
0.0000 0.0000 0.0000
0.1370 0.2796 0.0000
0.1601 0.5971 0.5000
0.3399 0.0971 0.5000
0.3630 0.7796 0.0000
0.5000 0.5000 0.0000
0.6370 0.2204 0.0000
0.6601 0.9029 0.5000
0.8399 0.4029 0.5000
0.8630 0.7204 0.0000
0.0000 0.5000 0.0000
0.5000 0.0000 0.0000
0.1220 0.8492 0.5000
0.3780 0.3492 0.5000
0.6220 0.6508 0.5000
0.8780 0.1508 0.5000
```

# 2
First-principles (PBE) data for an optimized crystal structure of Nd5AlTl2, as listed in Alexandria via LeMat-Bulk.

For the total energy, the calculation gives -4.288 eV per atom. Its space-group type is I4/mcm, No. 140. For the energy above the most stable polymorph in this dataset, the calculation gives 48 meV/atom. The value obtained for the energy relative to the elements is -24.0 kJ per mole of atoms.

The structure in POSCAR format:
```
Nd5AlTl2
1.0
-4.3820 4.3820 6.4159
4.3820 -4.3820 6.4159
4.3820 4.3820 -6.4159
Nd Al Tl
10 2 4
direct
0.0000 0.0000 0.0000
0.0041 0.5041 0.8179
0.1862 0.0041 0.5000
0.3138 0.8138 0.8179
0.4959 0.3138 0.5000
0.5000 0.5000 0.0000
0.5041 0.6862 0.5000
0.6862 0.1862 0.1821
0.8138 0.9959 0.5000
0.9959 0.4959 0.1821
0.2500 0.2500 0.0000
0.7500 0.7500 0.0000
0.1408 0.3592 0.5000
0.3592 0.8592 0.2185
0.6408 0.1408 0.7815
0.8592 0.6408 0.5000
```

# 3
First-principles (PBE) data for an optimized crystal structure of Nd9Al2Tl, as listed in Alexandria via LeMat-Bulk.

For the total energy, the calculation gives -4.576 eV per atom. Its space-group type is P4/mmm, No. 123. The value obtained for the energy relative to the elements is -17.3 kJ per mole of atoms.

The structure in POSCAR format:
```
Nd9Al2Tl
1.0
4.9298 0.0000 0.0000
0.0000 4.9298 0.0000
0.0000 0.0000 14.8017
Nd Al Tl
9 2 1
direct
0.0000 0.0000 0.0000
0.0000 0.0000 0.3367
0.0000 0.0000 0.6633
0.0000 0.5000 0.1729
0.0000 0.5000 0.5000
0.0000 0.5000 0.8271
0.5000 0.0000 0.1729
0.5000 0.0000 0.5000
0.5000 0.0000 0.8271
0.5000 0.5000 0.3346
0.5000 0.5000 0.6654
0.5000 0.5000 0.0000
```

# 4
First-principles (PBE) data for an optimized crystal structure of Nd4AlTl2, as listed in Alexandria via LeMat-Bulk.

For the total energy, the calculation gives -4.182 eV per atom. Its space-group type is P1, No. 1. For the energy above the most stable polymorph in this dataset, the calculation gives 0 meV/atom. The value obtained for the energy relative to the elements is -23.8 kJ per mole of atoms.

The structure in POSCAR format:
```
Nd4AlTl2
1.0
7.1763 0.0000 0.0000
2.3432 6.9424 0.0000
0.9164 1.2533 8.4831
Nd Al Tl
8 2 4
direct
0.0000 0.0000 0.0000
0.0331 0.4642 0.1185
0.1062 0.6442 0.4277
0.3551 0.0725 0.5896
0.4641 0.2055 0.9196
0.5093 0.6622 0.0399
0.5910 0.5621 0.5244
0.8779 0.1413 0.4560
0.2784 0.0044 0.2500
0.4718 0.3041 0.2712
0.2258 0.6741 0.7732
0.6915 0.8923 0.2605
0.7716 0.8290 0.7514
0.9495 0.3772 0.7603
```